The following is a DFT calculation (PBE) of a relaxed structure of Er12Tm6Mg.

Lattice parameters (Å, degrees): 15.2089 15.2089 8.5370 90.00 90.00 120.00
Space group R-3 (No. 148, hexagonal axes)
Asymmetric unit:
Er  0.0176  0.8776  0.1657 (multiplicity 18)
Er  0.0693  0.5079  0.1654 (multiplicity 18)
Tm  0.0349  0.7531  0.8334 (multiplicity 18)
Mg  0.0000  0.0000  0.5000 (multiplicity 3)

Spin magnetization = 0.0 μB/f.u.
ρ = 8.87 Mg/m³
N(E_F) = 27.3 states/eV/f.u.
Energy relative to the lowest polymorph listed for this composition = 0 kJ/mol of formula units
ΔE_f = 26 meV/atom

The following is a DFT calculation (PBE) of a relaxed structure of NaSr3O.

Lattice parameters (Å, degrees): 7.602 7.815 7.837 94.93 98.59 115.74
Space group P-1 (No. 2)
Asymmetric unit:
Na  0.098  0.374  0.368 (multiplicity 2)
Sr  0.084  0.805  0.144 (multiplicity 2)
Sr  0.377  0.104  0.619 (multiplicity 2)
Sr  0.474  0.694  0.812 (multiplicity 2)
O  0.393  0.030  0.318 (multiplicity 2)

Spin magnetization = 0.0 μB/f.u.
ρ = 2.45 Mg/m³
N(E_F) = 3.7 states/eV/f.u.
Energy relative to the lowest polymorph listed for this composition = 0 kJ/mol of formula units

The following is a DFT calculation (PBE) of a relaxed structure of ZnIn2SnI.

Lattice parameters (Å, degrees): 5.900 5.900 5.911 90.00 90.00 90.00
Space group P4/mmm (No. 123)
Asymmetric unit:
Zn  0.000  0.000  0.000 (multiplicity 1)
In  0.000  0.500  0.500 (multiplicity 2)
Sn  0.500  0.500  0.500 (multiplicity 1)
I  0.500  0.500  0.000 (multiplicity 1)

Spin magnetization = 0.0 μB/f.u.
Energy = -2.117 eV/atom
ρ = 4.36 Mg/m³
N(E_F) = 2.9 states/eV/f.u.

The following is a DFT calculation (PBE) of a relaxed structure of K2AsPt.

Lattice parameters (Å, degrees): 5.928 10.294 3.045 90.00 90.00 90.00
Space group Cmmm (No. 65)
Asymmetric unit:
K  0.250  0.250  0.000 (multiplicity 4)
As  0.000  0.000  0.500 (multiplicity 2)
Pt  0.000  0.500  0.500 (multiplicity 2)

Spin magnetization = 0.0 μB/f.u.
ρ = 6.22 Mg/m³
N(E_F) = 1.2 states/eV/f.u.
ΔE_f = 39 meV/atom